[1]
This record from the Alexandria database describes a geometry-optimized Sr5MgTl4 structure. The functional is PBE.

Results
- VASP energy (eV/atom) = -2.30
- formation enthalpy at 0 K (meV/atom) = -357
- space-group type = P4/mmm (123)
- Fermi-level density of states (states/eV/f.u.) = 7.99

Cell and atoms, written as extended XYZ:
```
10
Lattice="-0.831 -2.372 3.238 2.938 -2.612 -1.159 13.834 10.557 11.284" Properties=species:S:1:pos:R:3 pbc="T T T"
Tl 5.532 4.222 4.512
Tl 2.802 2.138 2.285
Tl 8.302 6.335 6.772
Tl 11.032 8.419 8.998
Sr 5.218 0.686 4.436
Sr 2.507 -1.383 2.224
Sr 13.435 6.957 11.138
Sr 7.971 2.787 6.681
Sr 10.724 4.888 8.927
Mg 0.000 0.000 0.000
```

=====

[2]
This record from the Alexandria database describes a geometry-optimized Sr4Mg2Tl structure. The functional is PBE.

Results
- VASP energy (eV/atom) = -1.84
- formation enthalpy at 0 K (meV/atom) = -82
- space-group type = I4/mmm (139)
- Fermi-level density of states (states/eV/f.u.) = 9.14

Cell and atoms, written as extended XYZ:
```
7
Lattice="-1.700 0.765 -6.921 -5.542 -2.874 3.521 1.541 6.412 2.808" Properties=species:S:1:pos:R:3 pbc="T T T"
Mg -0.079 3.589 -2.056
Mg -3.621 -1.054 -1.700
Sr -2.771 -1.437 1.761
Sr 0.770 3.206 1.404
Sr -2.851 2.152 -0.296
Sr -0.850 0.383 -3.461
Tl 0.000 0.000 0.000
```

=====

[3]
This record from the Alexandria database describes a geometry-optimized Sr2Mg6Tl9 structure. The functional is PBE.

Results
- VASP energy (eV/atom) = -2.05
- formation enthalpy at 0 K (meV/atom) = -41
- space-group type = P6/mmm (191)
- Fermi-level density of states (states/eV/f.u.) = 5.03

Cell and atoms, written as extended XYZ:
```
17
Lattice="6.539 0.000 0.000 -3.269 5.663 0.000 0.000 0.000 14.234" Properties=species:S:1:pos:R:3 pbc="T T T"
Tl 1.635 2.831 11.863
Tl -1.635 2.831 2.371
Tl 3.269 0.000 7.117
Tl -1.635 2.831 7.117
Tl 1.635 2.831 7.117
Tl -1.635 2.831 11.863
Tl 1.635 2.831 2.371
Tl 3.269 0.000 11.863
Tl 3.269 0.000 2.371
Sr 0.000 0.000 4.615
Sr 0.000 0.000 9.619
Mg 0.000 3.775 0.000
Mg 0.000 3.775 4.738
Mg 3.269 1.888 0.000
Mg 3.269 1.888 9.496
Mg 0.000 3.775 9.496
Mg 3.269 1.888 4.738
```

=====

[4]
This record from the Alexandria database describes a geometry-optimized SrMg2Tl structure. The functional is PBE.

Results
- VASP energy (eV/atom) = -1.77
- formation enthalpy at 0 K (meV/atom) = 39
- space-group type = R3m (160)
- Fermi-level density of states (states/eV/f.u.) = 1.98

Cell and atoms, written as extended XYZ:
```
4
Lattice="10.406 -0.010 -0.006 9.721 3.713 -0.006 9.721 1.788 3.254" Properties=species:S:1:pos:R:3 pbc="T T T"
Mg 22.122 4.070 2.403
Mg 29.811 5.484 3.238
Sr 14.963 2.753 1.625
Tl 7.724 1.421 0.839
```

=====

[5]
This record from the Alexandria database describes a geometry-optimized SrMgTl structure. The functional is PBE.

Results
- VASP energy (eV/atom) = -2.08
- formation enthalpy at 0 K (meV/atom) = -196
- space-group type = I4mm (107)
- Fermi-level density of states (states/eV/f.u.) = 1.51

Cell and atoms, written as extended XYZ:
```
3
Lattice="6.889 0.063 -0.070 5.782 3.746 -0.078 1.107 0.342 3.667" Properties=species:S:1:pos:R:3 pbc="T T T"
Tl 8.602 2.590 1.194
Mg 1.363 0.419 3.583
Sr 4.920 1.486 2.409
```

=====

[6]
This record from the Alexandria database describes a geometry-optimized Sr2MgTl8 structure. The functional is PBE.

Results
- VASP energy (eV/atom) = -2.36
- formation enthalpy at 0 K (meV/atom) = -186
- space-group type = P4/mmm (123)
- Fermi-level density of states (states/eV/f.u.) = 6.38

Cell and atoms, written as extended XYZ:
```
11
Lattice="5.173 0.000 0.000 0.000 5.173 0.000 0.000 0.000 12.632" Properties=species:S:1:pos:R:3 pbc="T T T"
Tl 0.000 2.587 6.316
Tl 2.587 2.587 3.913
Tl 2.587 0.000 10.991
Tl 2.587 0.000 6.316
Tl 2.587 2.587 8.719
Tl 2.587 0.000 1.641
Tl 0.000 2.587 10.991
Tl 0.000 2.587 1.641
Sr 0.000 0.000 8.688
Sr 0.000 0.000 3.944
Mg 0.000 0.000 0.000
```

=====

[7]
This record from the Alexandria database describes a geometry-optimized Sr3Mg2Tl5 structure. The functional is PBE.

Results
- VASP energy (eV/atom) = -2.30
- formation enthalpy at 0 K (meV/atom) = -292
- space-group type = P4/mbm (127)
- Fermi-level density of states (states/eV/f.u.) = 4.36

Cell and atoms, written as extended XYZ:
```
20
Lattice="4.449 0.000 0.000 0.000 11.828 0.000 0.000 0.000 11.828" Properties=species:S:1:pos:R:3 pbc="T T T"
Tl 2.225 6.749 8.441
Tl 2.225 0.835 9.301
Tl 2.225 5.914 0.000
Tl 2.225 9.301 10.992
Tl 2.225 10.992 2.527
Tl 2.225 2.527 0.835
Tl 2.225 3.387 6.749
Tl 2.225 5.078 3.387
Tl 2.225 8.441 5.078
Tl 2.225 0.000 5.914
Mg 0.000 4.504 1.410
Mg 0.000 1.410 7.324
Mg 0.000 7.324 10.418
Mg 0.000 10.418 4.504
Sr 0.000 2.084 3.830
Sr 0.000 7.998 2.084
Sr 0.000 3.830 9.744
Sr 0.000 9.744 7.998
Sr 0.000 0.000 0.000
Sr 0.000 5.914 5.914
```

=====

[8]
This record from the Alexandria database describes a geometry-optimized SrMg2Tl structure. The functional is PBE.

Results
- VASP energy (eV/atom) = -1.89
- formation enthalpy at 0 K (meV/atom) = -77
- space-group type = Fm-3m (225)
- Fermi-level density of states (states/eV/f.u.) = 1.96

Cell and atoms, written as extended XYZ:
```
4
Lattice="0.721 2.944 4.462 -4.217 1.233 3.129 -0.517 -2.292 4.856" Properties=species:S:1:pos:R:3 pbc="T T T"
Mg -1.003 0.471 3.112
Mg -3.009 1.414 9.335
Tl -2.006 0.942 6.223
Sr 0.000 0.000 0.000
```